Entry from Alexandria: a crystal of Tl2AsCl relaxed with PBEsol (meta-GGA SCAN).

```
Tl2AsCl
1.0
7.235 0.000 0.000
0.000 7.235 0.000
0.000 0.000 7.235
Tl As Cl
8 4 4
Direct
0.250 0.250 0.250
0.250 0.250 0.750
0.250 0.750 0.250
0.250 0.750 0.750
0.750 0.250 0.250
0.750 0.250 0.750
0.750 0.750 0.250
0.750 0.750 0.750
0.000 0.000 0.000
0.000 0.500 0.500
0.500 0.000 0.500
0.500 0.500 0.000
0.000 0.000 0.500
0.000 0.500 0.000
0.500 0.000 0.000
0.500 0.500 0.500
```

Output
As for the total magnetic moment: 0.000 μB/cell. Its formation energy without anion corrections is -0.209 eV/atom. As for the total energy: -694.878 eV for the cell shown.